Material: PPbBr
Method: DFT, PBEsol
State: optimized geometry

Results
Space group ... F-43m, No. 216
Formation energy without anion corrections ... 0.75 eV per atom
Total moment ... 0.62 μB per cell
Total DFT energy (no corrections) ... -3.14 eV per atom

Unit cell a=4.9065 b=4.9065 c=4.9065 alpha=60.00 beta=60.00 gamma=60.00
Atoms (fractional coordinates):
Br  0.2500  0.2500  0.2500
P  0.0000  0.0000  0.0000
Pb  0.5000  0.5000  0.5000

***

Material: YCdP2
Method: DFT, PBEsol
State: optimized geometry

Results
Space group ... R-3m, No. 166
E_form ... -559 meV/atom
Total moment ... 0.00 μB per cell
Total DFT energy (no corrections) ... -5.46 eV per atom

Unit cell a=4.0546 b=4.0573 c=6.3359 alpha=108.71 beta=90.00 gamma=119.98
Atoms (fractional coordinates):
Cd  0.5000  0.0000  0.0000
P  0.7512  0.5025  0.7526
P  0.2488  0.4975  0.2474
Y  0.0000  0.0000  0.5000

***

Material: SeBr3
Method: DFT, PBEsol
State: optimized geometry

Results
Space group ... Fm-3m, No. 225
Formation energy without anion corrections ... 0.56 eV per atom
Total moment ... 0.00 μB per cell
Total DFT energy (no corrections) ... -1.81 eV per atom

Unit cell a=5.0394 b=5.0394 c=5.0394 alpha=60.00 beta=60.00 gamma=60.00
Atoms (fractional coordinates):
Br  0.7500  0.7500  0.7500
Br  0.5000  0.5000  0.5000
Br  0.2500  0.2500  0.2500
Se  0.0000  0.0000  0.0000

***

Material: LiInAg2F
Method: DFT, PBEsol
State: optimized geometry

Results
Space group ... P4/mmm, No. 123
Formation energy without anion corrections ... -0.62 eV per atom
Total moment ... 0.00 μB per cell
Total DFT energy (no corrections) ... -3.32 eV per atom

Unit cell a=3.2333 b=5.1065 c=5.1065 alpha=90.00 beta=90.00 gamma=90.00
Atoms (fractional coordinates):
F  0.5000  0.0000  0.0000
Li  0.0000  0.0000  0.0000
Ag  0.0000  0.0000  0.5000
Ag  0.0000  0.5000  0.0000
In  0.5000  0.5000  0.5000

***

Material: Sr4Zn3F14
Method: DFT, PBEsol
State: optimized geometry

Results
Space group ... P-62m, No. 189
Formation energy without anion corrections ... -3.24 eV per atom
Total moment ... 0.00 μB per cell
Total DFT energy (no corrections) ... -5.10 eV per atom

Unit cell a=6.7463 b=6.7463 c=7.0977 alpha=90.00 beta=90.00 gamma=120.00
Atoms (fractional coordinates):
Sr  0.6667  0.3333  0.0000
Sr  0.3333  0.6667  0.0000
Sr  0.0000  0.0000  0.2377
Sr  0.0000  0.0000  0.7623
Zn  0.4542  0.4542  0.5000
Zn  0.5458  0.0000  0.5000
Zn  0.0000  0.5458  0.5000
F  0.7588  0.7588  0.5000
F  0.0000  0.6109  0.7698
F  0.6109  0.0000  0.7698
F  0.3333  0.6667  0.5000
F  0.6667  0.3333  0.5000
F  0.3891  0.3891  0.7698
F  0.2412  0.0000  0.5000
F  0.2671  0.0000  0.0000
F  0.0000  0.2671  0.0000
F  0.7329  0.7329  0.0000
F  0.3891  0.3891  0.2302
F  0.0000  0.6109  0.2302
F  0.6109  0.0000  0.2302
F  0.0000  0.2412  0.5000

***

Material: NaSr2Ag2
Method: DFT, PBEsol
State: optimized geometry

Results
Space group ... P4/mbm, No. 127
E_form ... -195 meV/atom
Total moment ... 0.00 μB per cell
Total DFT energy (no corrections) ... -2.54 eV per atom
Excess energy over the best structure of this formula in the dataset ... 0.0 meV/atom

Unit cell a=4.2933 b=8.4159 c=8.4159 alpha=90.00 beta=90.00 gamma=90.00
Atoms (fractional coordinates):
Sr  0.5000  0.1715  0.6715
Sr  0.5000  0.6715  0.8285
Sr  0.5000  0.8285  0.3285
Sr  0.5000  0.3285  0.1715
Ag  0.0000  0.3806  0.8806
Ag  0.0000  0.8806  0.6194
Ag  0.0000  0.6194  0.1194
Ag  0.0000  0.1194  0.3806
Na  0.0000  0.0000  0.0000
Na  0.0000  0.5000  0.5000

***

Material: AgPRuS2
Method: DFT, PBEsol
State: optimized geometry

Results
Space group ... P4/mmm, No. 123
Formation energy without anion corrections ... 0.59 eV per atom
Total moment ... 0.00 μB per cell
Total DFT energy (no corrections) ... -5.02 eV per atom

Unit cell a=4.3662 b=4.6765 c=4.6765 alpha=90.00 beta=90.00 gamma=90.00
Atoms (fractional coordinates):
Ru  0.0000  0.0000  0.0000
S  0.0000  0.0000  0.5000
S  0.0000  0.5000  0.0000
Ag  0.5000  0.5000  0.5000
P  0.5000  0.0000  0.0000

***

Material: Zn2CrPb
Method: DFT, PBEsol
State: optimized geometry

Results
Space group ... I-4m2, No. 119
E_form ... 403 meV/atom
Total moment ... 3.04 μB per cell
Total DFT energy (no corrections) ... -3.95 eV per atom

Unit cell a=4.0262 b=4.0262 c=5.0795 alpha=113.35 beta=113.35 gamma=90.00
Atoms (fractional coordinates):
Cr  0.5000  0.5000  0.0000
Pb  0.7500  0.2500  0.5000
Zn  0.0000  0.0000  0.0000
Zn  0.2500  0.7500  0.5000

***

Material: K2ZrAl
Method: DFT, PBEsol
State: optimized geometry

Results
Space group ... F-43m, No. 216
E_form ... 866 meV/atom
Total moment ... 0.98 μB per cell
Total DFT energy (no corrections) ... -3.00 eV per atom

Unit cell a=5.4460 b=5.4460 c=5.4460 alpha=60.00 beta=60.00 gamma=60.00
Atoms (fractional coordinates):
K  0.0000  0.0000  0.0000
K  0.7500  0.7500  0.7500
Al  0.5000  0.5000  0.5000
Zr  0.2500  0.2500  0.2500

***

Material: Ge3N4
Method: DFT, PBEsol
State: optimized geometry

Results
Space group ... P6_3/m, No. 176
Formation energy without anion corrections ... -0.21 eV per atom
Total moment ... 0.00 μB per cell
Total DFT energy (no corrections) ... -7.20 eV per atom
Excess energy over the best structure of this formula in the dataset ... 2.0 meV/atom

Unit cell a=3.0803 b=8.0471 c=8.0471 alpha=120.00 beta=90.00 gamma=90.00
Atoms (fractional coordinates):
Ge  0.7500  0.7628  0.1694
Ge  0.2500  0.1694  0.4066
Ge  0.2500  0.5934  0.7628
Ge  0.7500  0.4066  0.2372
Ge  0.7500  0.8306  0.5934
Ge  0.2500  0.2372  0.8306
N  0.7500  0.6667  0.3333
N  0.2500  0.3333  0.6667
N  0.7500  0.0258  0.3304
N  0.2500  0.3304  0.3047
N  0.2500  0.6953  0.0258
N  0.7500  0.3047  0.9742
N  0.2500  0.9742  0.6696
N  0.7500  0.6696  0.6953